# 1
Material: Fe2CoSe
Method: DFT, PBE
State: relaxed

Space-group type   R3m
Raw total energy   -6.602 eV/atom
M_tot   6.43 μB/cell
Formation energy without anion corrections   0.277 eV/atom

abc: 7.6927 7.6927 7.6927
angles: 21.44 21.44 21.44
Last column: nearest neighbours and their distance in Å.
Element x y z (fractional)
Fe 0.0000 0.0000 0.0000  3 Se 2.48, 3 Fe 2.51
Fe 0.2495 0.2495 0.2495  3 Co 2.44, 3 Fe 2.51
Co 0.5032 0.5032 0.5032  3 Fe 2.44, 3 Se 2.58
Se 0.7488 0.7488 0.7488  3 Fe 2.48, 3 Co 2.58

# 2
Material: Ce3PuIr3
Method: DFT, PBE
State: relaxed

Space-group type   C2/m
E_form   -0.53 eV per atom
Raw total energy   -8.919 eV/atom
M_tot   14.49 μB/cell

abc: 6.8590 6.8590 7.1433
angles: 90.84 90.84 98.54
Last column: nearest neighbours and their distance in Å.
Element x y z (fractional)
Ce 0.1762 0.8238 0.0000  6 Ir 2.83-2.88
Ce 0.2490 0.7510 0.5000  6 Ir 2.93-3.08
Ce 0.3483 0.3483 0.8888  3 Ir 2.83-2.91, 1 Ce 3.11
Ce 0.6517 0.6517 0.1112  3 Ir 2.83-2.91, 1 Ce 3.11
Ce 0.7510 0.2490 0.5000  6 Ir 2.93-3.08
Ce 0.8238 0.1762 0.0000  6 Ir 2.83-2.88
Pu 0.2502 0.2502 0.3740  4 Ir 2.78-2.89
Pu 0.7498 0.7498 0.6260  4 Ir 2.78-2.89
Ir 0.0109 0.5014 0.2187  1 Pu 2.78, 5 Ce 2.83-3.08
Ir 0.0659 0.0659 0.7018  5 Ce 2.83-3.01, 2 Pu 2.87-2.89, 3 Ir 3.09-3.14
Ir 0.4986 0.9891 0.7813  1 Pu 2.78, 5 Ce 2.83-3.08
Ir 0.5014 0.0109 0.2187  1 Pu 2.78, 5 Ce 2.83-3.08
Ir 0.9341 0.9341 0.2982  5 Ce 2.83-3.01, 2 Pu 2.87-2.89, 3 Ir 3.09-3.14
Ir 0.9891 0.4986 0.7813  1 Pu 2.78, 5 Ce 2.83-3.08